First-principles (PBE) data for a geometry-optimized Sm6Y8In structure, as listed in Alexandria via LeMat-Bulk.

- Formation enthalpy at 0 K: 67 meV per atom
- Fermi-level density of states: 1.2497 states/eV/atom

Cell lengths 6.374, 9.480, 9.480 Å; angles 120.00, 90.00, 90.00 degrees
Element x y z (fractional)
Sm 0.683 0.639 0.091
Sm 0.683 0.909 0.547
Sm 0.683 0.453 0.361
Sm 0.317 0.361 0.909
Sm 0.317 0.091 0.453
Sm 0.317 0.547 0.639
Y 0.810 0.038 0.264
Y 0.810 0.736 0.774
Y 0.810 0.226 0.962
Y 0.190 0.962 0.736
Y 0.190 0.264 0.226
Y 0.190 0.774 0.038
Y 0.827 0.333 0.667
Y 0.173 0.667 0.333
In 0.500 0.000 0.000

First-principles (PBE) data for a geometry-optimized Tb6Dy3Ho structure, as listed in Alexandria via LeMat-Bulk.

- Formation enthalpy at 0 K: 124 meV per atom
- Fermi-level density of states: 1.6053 states/eV/atom

Cell lengths 6.344, 11.520, 11.520 Å; angles 130.71, 90.00, 90.00 degrees
Element x y z (fractional)
Tb 0.069 0.742 0.621
Tb 0.569 0.621 0.742
Tb 0.327 0.457 0.895
Tb 0.827 0.895 0.457
Tb 0.319 0.985 0.015
Tb 0.791 0.301 0.699
Tb 0.291 0.699 0.301
Tb 0.819 0.015 0.985
Tb 0.327 0.105 0.543
Tb 0.827 0.543 0.105
Tb 0.069 0.379 0.258
Tb 0.569 0.258 0.379
Dy 0.488 0.959 0.704
Dy 0.988 0.704 0.959
Dy 0.092 0.420 0.580
Dy 0.592 0.580 0.420
Dy 0.988 0.041 0.296
Dy 0.488 0.296 0.041
Ho 0.015 0.160 0.840
Ho 0.515 0.840 0.160

First-principles (PBE) data for a geometry-optimized PrMgCdGa structure, as listed in Alexandria via LeMat-Bulk.

- Formation enthalpy at 0 K: -365 meV per atom
- Fermi-level density of states: 0.4290 states/eV/atom

Cell lengths 5.131, 5.131, 5.131 Å; angles 60.00, 60.00, 60.00 degrees
Element x y z (fractional)
Pr 0.500 0.500 0.500
Mg 0.000 0.000 0.000
Ga 0.250 0.250 0.250
Cd 0.750 0.750 0.750

| no. | raw total energy (eV/atom) | density (Mg/m³) | total magnetic moment (μB per formula unit) |
| --- | --- | --- | --- |
| 1 | -5.451 | 5.8 | 0.00 |
| 2 | -4.493 | 8.4 | 0.00 |
| 3 | -2.944 | 6.0 | 0.00 |